# La3Co2Sn7

La3Co2Sn7 after structural relaxation (GGA-PBE, the Open Quantum Materials Database).

Results
**VASP energy**: -63.9 eV per formula unit
**Space group**: Cmmm

Lattice parameters (Å, degrees): 4.625 4.631 14.091 90.00 80.55 90.00
Atoms (fractional coordinates):
Sn (0.909, 0.500, 0.181)
Sn (0.718, 0.500, 0.564)
Sn (0.410, 0.000, 0.181)
Sn (0.000, 0.000, 0.000)
Sn (0.091, 0.500, 0.819)
Sn (0.282, 0.500, 0.436)
Sn (0.590, 0.000, 0.819)
La (0.815, 0.000, 0.369)
La (0.185, 0.000, 0.631)
La (0.500, 0.500, 0.000)
Co (0.372, 0.500, 0.256)
Co (0.628, 0.500, 0.744)

***

# LaTbCo2Sn4

LaTbCo2Sn4 after structural relaxation (GGA-PBE, the Open Quantum Materials Database).

Results
**VASP energy**: -43.5 eV per formula unit
**Space group**: Amm2

Lattice parameters (Å, degrees): 4.522 9.362 9.362 27.54 90.00 90.00
Atoms (fractional coordinates):
Sn (0.500, 0.752, 0.752)
Sn (0.000, 0.951, 0.951)
Sn (0.500, 0.046, 0.046)
Sn (0.000, 0.251, 0.251)
La (0.000, 0.611, 0.611)
Co (0.000, 0.819, 0.819)
Co (0.500, 0.181, 0.181)
Tb (0.500, 0.388, 0.388)

***

# LaTlCoTe3

LaTlCoTe3 after structural relaxation (GGA-PBE, the Open Quantum Materials Database).

Results
**Excess energy over the best structure of this formula in the dataset**: 11 meV/atom
**Space group**: Cmcm

Lattice parameters (Å, degrees): 8.084 8.084 11.975 90.00 90.00 31.55
Atoms (fractional coordinates):
Te (0.072, 0.072, 0.750)
Te (0.928, 0.928, 0.250)
Te (0.367, 0.367, 0.584)
Te (0.367, 0.367, 0.916)
Te (0.633, 0.633, 0.084)
Te (0.633, 0.633, 0.416)
La (0.000, 0.000, 0.500)
La (0.000, 0.000, 0.000)
Co (0.474, 0.474, 0.750)
Co (0.526, 0.526, 0.250)
Tl (0.246, 0.246, 0.250)
Tl (0.754, 0.754, 0.750)

***

Calculated total magnetization, 0.01 0.00 5.91 μB/cell (same order as the records).